DFT (PBE with a Hubbard U) results for a relaxed AcCuW2O8 crystal.

VASP energy: -86.1 eV/f.u.
Space-group type: C2/m (12)

```
AcCuW2O8
1.0
-2.175 4.325 -2.218
-5.999 0.769 0.991
-2.576 4.589 5.083
Ac Cu W O
1 1 2 8
Direct
0.500 0.500 0.500
0.000 0.000 0.000
0.299 0.230 0.173
0.701 0.770 0.827
0.874 0.596 0.657
0.674 0.529 0.122
0.126 0.404 0.343
0.326 0.471 0.878
0.639 0.980 0.245
0.361 0.020 0.755
0.135 0.980 0.245
0.865 0.020 0.755
```